1.
A plane-wave DFT calculation with GGA-PBE was carried out for crystalline ZnBr2N2 at its relaxed geometry.

abc: 4.2671 4.2671 7.3761
angles: 73.19 73.19 90.00
Closest atoms and distances in Å follow each position.
Fractional coordinates of all 5 atoms:
Zn 0.0000 0.0000 0.0000  10 Br 3.96-4.10, 8 N 3.98, 4 Zn 4.27
Br 0.2939 0.2939 0.4122  4 N 2.21
Br 0.7061 0.7061 0.5878  4 N 2.21
N 0.7500 0.2500 0.5000  4 Br 2.21
N 0.2500 0.7500 0.5000  4 Br 2.21

## Properties
The value obtained for the density of states at the Fermi level is 0.0 states/eV per cell. Its space group is I4/mmm. For the uncorrected formation energy, the calculation gives 1815 meV per atom. The calculation puts the relative energy among the computed polymorphs at 2291 meV/atom.

---

2.
A plane-wave DFT calculation with GGA-PBE was carried out for crystalline ZnBr3N at its relaxed geometry.

abc: 7.7583 7.7652 13.4898
angles: 138.77 138.58 49.69
Closest atoms and distances in Å follow each position.
Fractional coordinates of all 10 atoms:
Zn 0.9254 0.4090 0.5275  4 Br 2.44-2.49
Zn 0.4432 0.8913 0.5274  4 Br 2.44-2.49
Br 0.2436 0.2084 0.2917  1 Br 2.95
Br 0.1237 0.0907 0.7620  1 Br 2.95
Br 0.3704 0.3365 0.6071  2 Zn 2.49
Br 0.5455 0.5087 0.2951  2 Zn 2.44
Br 0.9980 0.9636 0.4474  2 Zn 2.49
Br 0.8233 0.7918 0.7599  2 Zn 2.44
N 0.5192 0.4911 0.0109  5 Br 3.40-3.78
N 0.8483 0.8079 0.0434  5 Br 3.40-3.78

## Properties
Its space group is P1. For the uncorrected formation energy, the calculation gives 708 meV per atom. The calculation puts the relative energy among the computed polymorphs at 0 meV/atom.

---

3.
A plane-wave DFT calculation with GGA-PBE was carried out for crystalline ZnBr2N at its relaxed geometry.

abc: 4.8653 4.8653 4.8653
angles: 60.00 60.00 60.00
Closest atoms and distances in Å follow each position.
Fractional coordinates of all 4 atoms:
Zn 0.5000 0.5000 0.5000  8 Br 2.98
Br 0.2500 0.2500 0.2500  4 Zn 2.98, 4 N 2.98
Br 0.7500 0.7500 0.7500  4 Zn 2.98, 4 N 2.98
N 0.0000 0.0000 0.0000  8 Br 2.98

## Properties
The value obtained for the density of states at the Fermi level is 0.8 states/eV per cell. Its space group is Fm-3m. For the uncorrected formation energy, the calculation gives 1126 meV per atom. The calculation puts the relative energy among the computed polymorphs at 430 meV/atom.

---

4.
A plane-wave DFT calculation with GGA-PBE was carried out for crystalline ZnBr3N at its relaxed geometry.

abc: 4.7256 4.7256 4.7256
angles: 90.00 90.00 90.00
Closest atoms and distances in Å follow each position.
Fractional coordinates of all 5 atoms:
Zn 0.5000 0.5000 0.5000  12 Br 3.34
Br 0.0000 0.5000 0.0000  2 N 2.36
Br 0.0000 0.0000 0.5000  2 N 2.36
Br 0.5000 0.0000 0.0000  2 N 2.36
N 0.0000 0.0000 0.0000  6 Br 2.36

## Properties
The value obtained for the density of states at the Fermi level is 2.5 states/eV per cell. Its space group is Pm-3m. For the uncorrected formation energy, the calculation gives 888 meV per atom. The calculation puts the relative energy among the computed polymorphs at 180 meV/atom.

---

5.
A plane-wave DFT calculation with GGA-PBE was carried out for crystalline ZnBrN3 at its relaxed geometry.

abc: 3.8757 3.8757 3.8757
angles: 90.00 90.00 90.00
Closest atoms and distances in Å follow each position.
Fractional coordinates of all 5 atoms:
Zn 0.5000 0.5000 0.5000  12 N 2.74
Br 0.0000 0.0000 0.0000  6 N 1.94
N 0.0000 0.5000 0.0000  2 Br 1.94
N 0.0000 0.0000 0.5000  2 Br 1.94
N 0.5000 0.0000 0.0000  2 Br 1.94

## Properties
The value obtained for the density of states at the Fermi level is 2.9 states/eV per cell. Its space group is Pm-3m. For the uncorrected formation energy, the calculation gives 2608 meV per atom.

---

6.
A plane-wave DFT calculation with GGA-PBE was carried out for crystalline Zn3Br2N at its relaxed geometry.

abc: 11.9977 9.6462 5.7183
angles: 53.64 90.00 128.46
Closest atoms and distances in Å follow each position.
Fractional coordinates of all 12 atoms:
Zn 0.7719 0.0000 0.7500  1 N 1.95
Zn 0.2281 0.0000 0.2500  1 N 1.95
Zn 0.8676 0.7350 0.7653  2 N 2.09
Zn 0.1327 0.2650 0.7347  2 N 2.09
Zn 0.8673 0.7350 0.2653  2 N 2.09
Zn 0.1324 0.2650 0.2347  2 N 2.09
Br 0.1692 0.5881 0.6618  3 Zn 2.61-2.69
Br 0.4189 0.5880 0.1619  3 Zn 2.61-2.69
Br 0.5811 0.4120 0.8381  3 Zn 2.61-2.69
Br 0.8308 0.4119 0.3382  3 Zn 2.61-2.69
N 0.0658 0.9999 0.2502  5 Zn 1.95-2.09
N 0.9342 0.0001 0.7498  5 Zn 1.95-2.09

## Properties
The value obtained for the density of states at the Fermi level is 3.4 states/eV per cell. Its space group is Cmcm. For the uncorrected formation energy, the calculation gives -161 meV per atom.